1.
Below is a geometry-optimized TbY5Bi5 structure, with properties calculated at the GGA-PBE level.

The structure in CIF format:
```
data_TbY5Bi5
_chemical_formula_sum 'Tb2 Y10 Bi10'
_cell_length_a 13.961
_cell_length_b 6.282
_cell_length_c 8.861
_cell_angle_alpha 90.00
_cell_angle_beta 108.45
_cell_angle_gamma 90.00
_symmetry_space_group_name_H-M 'C 1 2/m 1'
_symmetry_Int_Tables_number 12
_symmetry_space_group_name_Hall '-C 2y'
loop_
_atom_site_label
_atom_site_type_symbol
_atom_site_fract_x
_atom_site_fract_y
_atom_site_fract_z
Tb1 Tb 0.000 0.000 0.000
Y1 Y 0.000 0.000 0.500
Y2 Y 0.164 0.500 0.829
Y3 Y 0.165 0.500 0.335
Bi1 Bi 0.000 0.500 0.000
Bi2 Bi 0.167 0.000 0.336
Bi3 Bi 0.169 0.000 0.832
```

## Properties
mass density	7.43	g/cm³
D(E_F)	0.376	states/eV/atom
total moment	0.0	μB/f.u.
calculated formation energy	-708	meV/atom


2.
Below is a geometry-optimized AsIr4 structure, with properties calculated at the GGA-PBE level.

The structure in CIF format:
```
data_AsIr4
_chemical_formula_sum 'As2 Ir8'
_cell_length_a 5.582
_cell_length_b 5.582
_cell_length_c 5.582
_cell_angle_alpha 90.00
_cell_angle_beta 90.00
_cell_angle_gamma 90.00
_symmetry_space_group_name_H-M 'I m -3 m'
_symmetry_Int_Tables_number 229
_symmetry_space_group_name_Hall '-I 4 2 3'
loop_
_atom_site_label
_atom_site_type_symbol
_atom_site_fract_x
_atom_site_fract_y
_atom_site_fract_z
As1 As 0.000 0.000 0.000
Ir1 Ir 0.250 0.250 0.250
```

## Properties
excess energy over the best structure of this formula in the dataset	12.048	kcal/mol of atoms
mass density	16.11	g/cm³
D(E_F)	1.280	states/eV/atom
total moment	0.0	μB/f.u.
calculated formation energy	756	meV/atom


> The highest mass density belongs to which entry?

AsIr4


> Number 2 is which compound?

AsIr4